# Rb3Au2I6

Crystalline Rb3Au2I6 at its relaxed geometry (PBE, Alexandria via LeMat-Bulk).

Properties
Uncorrected formation energy, eV per atom: -0.81

a = 5.6298 Å, b = 5.6298 Å, c = 15.7542 Å
α = 100.29°, β = 100.29°, γ = 90.00°
Positions (direct):
Rb1 0.0000 0.0000 0.0000
Rb2 0.8204 0.8204 0.6408
Rb3 0.1796 0.1796 0.3592
Au1 0.3994 0.3994 0.7988
Au2 0.6006 0.6006 0.2012
I1 0.0833 0.5833 0.1666
I2 0.5833 0.0833 0.1666
I3 0.9167 0.4167 0.8334
I4 0.4167 0.9167 0.8334
I5 0.6980 0.6980 0.3960
I6 0.3020 0.3020 0.6040

---

# Pr2DyHo3Bi6

Crystalline Pr2DyHo3Bi6 at its relaxed geometry (PBE, Alexandria via LeMat-Bulk).

Properties
ΔH_f (0 K), eV per atom: -0.876

a = 4.5271 Å, b = 9.0464 Å, c = 10.1124 Å
α = 102.84°, β = 102.93°, γ = 90.00°
Positions (direct):
Pr1 0.8343 0.6676 0.6687
Pr2 0.1657 0.3324 0.3313
Dy1 0.5000 0.0000 0.0000
Ho1 0.5000 0.5000 0.0000
Ho2 0.8317 0.1660 0.6635
Ho3 0.1683 0.8340 0.3365
Bi1 0.3338 0.9253 0.6677
Bi2 0.6642 0.5900 0.3285
Bi3 0.6662 0.0747 0.3323
Bi4 0.9963 0.2487 0.9927
Bi5 0.0037 0.7513 0.0073
Bi6 0.3358 0.4100 0.6715

---

# Ba2ZnPt

Crystalline Ba2ZnPt at its relaxed geometry (PBE, Alexandria via LeMat-Bulk).

Properties
ΔH_f (0 K), eV per atom: -0.395

a = 4.5902 Å, b = 4.5902 Å, c = 8.6961 Å
α = 74.69°, β = 74.69°, γ = 60.02°
Positions (direct):
Ba1 0.0136 0.0136 0.9598
Ba2 0.4864 0.4864 0.5402
Pt1 0.7500 0.7500 0.7500
Zn1 0.2500 0.2500 0.2500

---

# AlP2Pb

Crystalline AlP2Pb at its relaxed geometry (PBE, Alexandria via LeMat-Bulk).

Properties
ΔH_f (0 K), eV per atom: -0.102
ΔE to the lowest computed polymorph, meV/atom: 0

a = 5.9812 Å, b = 5.9812 Å, c = 7.1763 Å
α = 65.37°, β = 65.37°, γ = 90.00°
Positions (direct):
Pb1 0.0000 0.0000 0.0000
Pb2 0.7500 0.2500 0.5000
P1 0.5671 0.1250 0.2500
P2 0.1829 0.6250 0.2500
P3 0.3750 0.4329 0.7500
P4 0.8750 0.8171 0.7500
Al1 0.5000 0.5000 0.0000
Al2 0.2500 0.7500 0.5000

---

# YPb

Crystalline YPb at its relaxed geometry (PBE, Alexandria via LeMat-Bulk).

Properties
ΔH_f (0 K), eV per atom: -0.184

a = 8.6106 Å, b = 8.6105 Å, c = 6.1534 Å
α = 90.00°, β = 90.00°, γ = 120.00°
Positions (direct):
Y1 0.7359 0.9432 0.2500
Y2 0.7927 0.7359 0.7500
Y3 0.0568 0.7927 0.2500
Y4 0.2641 0.0568 0.7500
Y5 0.2073 0.2641 0.2500
Y6 0.9432 0.2073 0.7500
Pb1 0.9056 0.3765 0.2500
Pb2 0.5290 0.9056 0.7500
Pb3 0.6235 0.5290 0.2500
Pb4 0.0944 0.6235 0.7500
Pb5 0.4710 0.0944 0.2500
Pb6 0.3765 0.4710 0.7500

---

# BaSbBr2

Crystalline BaSbBr2 at its relaxed geometry (PBE, Alexandria via LeMat-Bulk).

Properties
Uncorrected formation energy, eV per atom: -1.00
ΔE to the lowest computed polymorph, meV/atom: 102

a = 5.5163 Å, b = 6.3141 Å, c = 5.4663 Å
α = 65.33°, β = 87.97°, γ = 114.93°
Positions (direct):
Sb1 0.0000 0.5000 0.5000
Ba1 0.5000 0.5000 0.0000
Br1 0.0000 0.0000 0.0000
Br2 0.5000 0.0000 0.5000

---

# Hf3TiRe

Crystalline Hf3TiRe at its relaxed geometry (PBE, Alexandria via LeMat-Bulk).

Properties
ΔH_f (0 K), eV per atom: 0.328
ΔE to the lowest computed polymorph, meV/atom: 0

a = 6.1640 Å, b = 6.1640 Å, c = 7.3700 Å
α = 65.28°, β = 65.28°, γ = 60.00°
Positions (direct):
Hf1 0.3909 0.9023 0.3159
Hf2 0.9023 0.3909 0.3159
Hf3 0.3909 0.3909 0.3159
Hf4 0.6091 0.6091 0.6841
Hf5 0.0977 0.6091 0.6841
Hf6 0.6091 0.0977 0.6841
Ti1 0.0882 0.0882 0.7353
Ti2 0.9118 0.9118 0.2647
Re1 0.3333 0.3333 0.0002
Re2 0.6667 0.6667 0.9998

---

# Ce3Sm4HoTe8

Crystalline Ce3Sm4HoTe8 at its relaxed geometry (PBE, Alexandria via LeMat-Bulk).

Properties
Uncorrected formation energy, eV per atom: -1.36

a = 8.8817 Å, b = 8.9088 Å, c = 8.8818 Å
α = 119.90°, β = 120.00°, γ = 90.00°
Positions (direct):
Ce1 0.5000 0.5000 0.0000
Ce2 0.5000 0.5000 0.5000
Ce3 0.0000 0.5000 0.5000
Sm1 0.5000 0.0000 0.0000
Sm2 0.5000 0.0000 0.5000
Sm3 0.0000 0.0000 0.0000
Sm4 0.0000 0.0000 0.5000
Ho1 0.0000 0.5000 0.0000
Te1 0.2468 0.7490 0.0022
Te2 0.2468 0.7490 0.4936
Te3 0.2488 0.2465 0.4977
Te4 0.7553 0.7490 0.0022
Te5 0.2447 0.2510 0.9978
Te6 0.7512 0.7535 0.5023
Te7 0.7532 0.2510 0.5064
Te8 0.7532 0.2510 0.9978

---

Number 1: Fermi-level density of states 0.45 states/eV per atom. Number 2: Fermi-level density of states 0.17 states/eV per atom. Number 3: Fermi-level density of states 0.61 states/eV per atom. Number 4: Fermi-level density of states 0.63 states/eV per atom. Number 5: Fermi-level density of states 1.02 states/eV per atom. Number 6: Fermi-level density of states 0.63 states/eV per atom. Number 7: Fermi-level density of states 0.95 states/eV per atom. Number 8: Fermi-level density of states 1.62 states/eV per atom.